[1]
Here is a geometry-optimized Y3CrIr structure from Alexandria via LeMat-Bulk. Energies are from PBE.

Structure (CIF):
```
data_Y3CrIr
_symmetry_space_group_name_H-M 'P m -3 m'
_symmetry_Int_Tables_number 221
_symmetry_space_group_name_Hall '-P 4 2 3'
_cell_length_a 5.380
_cell_length_b 5.380
_cell_length_c 5.380
_cell_angle_alpha 90.00
_cell_angle_beta 90.00
_cell_angle_gamma 90.00
loop_
_atom_site_label
_atom_site_fract_x
_atom_site_fract_y
_atom_site_fract_z
Y1 0.000 0.000 0.500
Cr1 0.500 0.500 0.500
Ir1 0.000 0.000 0.000
```

## Properties
The calculation puts the density at 5.45 g/cm³. The formation energy is 69 meV per atom.

[2]
Here is a geometry-optimized YCr2Ir2 structure from Alexandria via LeMat-Bulk. Energies are from PBE.

Structure (CIF):
```
data_YCr2Ir2
_symmetry_space_group_name_H-M 'I 4/m m m'
_symmetry_Int_Tables_number 139
_symmetry_space_group_name_Hall '-I 4 2'
_cell_length_a 4.140
_cell_length_b 4.140
_cell_length_c 10.208
_cell_angle_alpha 90.00
_cell_angle_beta 90.00
_cell_angle_gamma 90.00
loop_
_atom_site_label
_atom_site_fract_x
_atom_site_fract_y
_atom_site_fract_z
Y1 0.000 0.000 0.000
Cr1 0.000 0.500 0.250
Ir1 0.000 0.000 0.375
```

## Properties
The calculation puts the density at 10.96 g/cm³. The formation energy is -244 meV per atom.

[3]
Here is a geometry-optimized YZr2CrIr structure from Alexandria via LeMat-Bulk. Energies are from PBE.

Structure (CIF):
```
data_YZr2CrIr
_symmetry_space_group_name_H-M 'P 4/m m m'
_symmetry_Int_Tables_number 123
_symmetry_space_group_name_Hall '-P 4 2'
_cell_length_a 4.685
_cell_length_b 4.685
_cell_length_c 5.047
_cell_angle_alpha 90.00
_cell_angle_beta 90.00
_cell_angle_gamma 90.00
loop_
_atom_site_label
_atom_site_fract_x
_atom_site_fract_y
_atom_site_fract_z
Y1 0.000 0.000 0.000
Zr1 0.000 0.500 0.500
Cr1 0.000 0.000 0.500
Ir1 0.500 0.500 0.000
```

## Properties
The calculation puts the density at 7.73 g/cm³. The formation energy is 598 meV per atom.

[4]
Here is a geometry-optimized ZnCrIr2 structure from Alexandria via LeMat-Bulk. Energies are from PBE.

Structure (CIF):
```
data_ZnCrIr2
_symmetry_space_group_name_H-M 'C 1 2/m 1'
_symmetry_Int_Tables_number 12
_symmetry_space_group_name_Hall '-C 2y'
_cell_length_a 8.732
_cell_length_b 2.769
_cell_length_c 4.734
_cell_angle_alpha 90.00
_cell_angle_beta 101.09
_cell_angle_gamma 90.00
loop_
_atom_site_label
_atom_site_fract_x
_atom_site_fract_y
_atom_site_fract_z
Zn1 0.000 0.000 0.000
Cr1 0.000 0.500 0.500
Ir1 0.245 0.000 0.747
```

## Properties
The calculation puts the density at 14.83 g/cm³. The formation energy is -97 meV per atom.

[5]
Here is a geometry-optimized Zn4CrIr structure from Alexandria via LeMat-Bulk. Energies are from PBE.

Structure (CIF):
```
data_Zn4CrIr
_symmetry_space_group_name_H-M 'F -4 3 m'
_symmetry_Int_Tables_number 216
_symmetry_space_group_name_Hall 'F -4 2 3'
_cell_length_a 6.937
_cell_length_b 6.937
_cell_length_c 6.937
_cell_angle_alpha 90.00
_cell_angle_beta 90.00
_cell_angle_gamma 90.00
loop_
_atom_site_label
_atom_site_fract_x
_atom_site_fract_y
_atom_site_fract_z
Zn1 0.125 0.125 0.125
Cr1 0.250 0.250 0.750
Ir1 0.000 0.000 0.500
```

## Properties
The calculation puts the density at 10.07 g/cm³. The formation energy is -5 meV per atom.

[6]
Here is a geometry-optimized ZnCrIr structure from Alexandria via LeMat-Bulk. Energies are from PBE.

Structure (CIF):
```
data_ZnCrIr
_symmetry_space_group_name_H-M 'I 4 m m'
_symmetry_Int_Tables_number 107
_symmetry_space_group_name_Hall 'I 4 -2'
_cell_length_a 2.761
_cell_length_b 2.761
_cell_length_c 10.631
_cell_angle_alpha 90.00
_cell_angle_beta 90.00
_cell_angle_gamma 90.00
loop_
_atom_site_label
_atom_site_fract_x
_atom_site_fract_y
_atom_site_fract_z
Zn1 0.000 0.000 0.000
Cr1 0.000 0.000 0.670
Ir1 0.000 0.000 0.321
```

## Properties
The calculation puts the density at 12.69 g/cm³. The formation energy is -78 meV per atom.

[7]
Here is a geometry-optimized ZnCr2Ir structure from Alexandria via LeMat-Bulk. Energies are from PBE.

Structure (CIF):
```
data_ZnCr2Ir
_symmetry_space_group_name_H-M 'P 4 m m'
_symmetry_Int_Tables_number 99
_symmetry_space_group_name_Hall 'P 4 -2'
_cell_length_a 2.658
_cell_length_b 2.658
_cell_length_c 7.483
_cell_angle_alpha 90.00
_cell_angle_beta 90.00
_cell_angle_gamma 90.00
loop_
_atom_site_label
_atom_site_fract_x
_atom_site_fract_y
_atom_site_fract_z
Zn1 0.000 0.000 0.000
Cr1 0.000 0.000 0.506
Cr2 0.500 0.500 0.258
Ir1 0.500 0.500 0.732
```

## Properties
The calculation puts the density at 11.36 g/cm³. The formation energy is 76 meV per atom.

[8]
Here is a geometry-optimized ZnCr2Ir structure from Alexandria via LeMat-Bulk. Energies are from PBE.

Structure (CIF):
```
data_ZnCr2Ir
_symmetry_space_group_name_H-M 'R 3 m'
_symmetry_Int_Tables_number 160
_symmetry_space_group_name_Hall 'R 3 -2"'
_cell_length_a 2.6666
_cell_length_b 2.6666
_cell_length_c 25.9035
_cell_angle_alpha 90.00
_cell_angle_beta 90.00
_cell_angle_gamma 120.00
loop_
_atom_site_label
_atom_site_fract_x
_atom_site_fract_y
_atom_site_fract_z
Zn1 0.0000 0.0000 0.0000
Cr1 0.0000 0.0000 0.4993
Cr2 0.0000 0.0000 0.7515
Ir1 0.0000 0.0000 0.2437
```

## Properties
The calculation puts the density at 11.29 g/cm³. The formation energy is 137 meV per atom.

[9]
Here is a geometry-optimized ZnCrIr2 structure from Alexandria via LeMat-Bulk. Energies are from PBE.

Structure (CIF):
```
data_ZnCrIr2
_symmetry_space_group_name_H-M 'I -4 2 d'
_symmetry_Int_Tables_number 122
_symmetry_space_group_name_Hall 'I -4 2bw'
_cell_length_a 6.906
_cell_length_b 6.906
_cell_length_c 5.228
_cell_angle_alpha 90.00
_cell_angle_beta 90.00
_cell_angle_gamma 90.00
loop_
_atom_site_label
_atom_site_fract_x
_atom_site_fract_y
_atom_site_fract_z
Zn1 0.000 0.000 0.000
Cr1 0.000 0.000 0.500
Ir1 0.208 0.750 0.625
```

## Properties
The calculation puts the density at 13.37 g/cm³. The formation energy is 396 meV per atom.

[10]
Here is a geometry-optimized ZnCrIr structure from Alexandria via LeMat-Bulk. Energies are from PBE.

Structure (CIF):
```
data_ZnCrIr
_symmetry_space_group_name_H-M 'F m m 2'
_symmetry_Int_Tables_number 42
_symmetry_space_group_name_Hall 'F 2 -2'
_cell_length_a 2.815
_cell_length_b 4.484
_cell_length_c 13.101
_cell_angle_alpha 90.00
_cell_angle_beta 90.00
_cell_angle_gamma 90.00
loop_
_atom_site_label
_atom_site_fract_x
_atom_site_fract_y
_atom_site_fract_z
Zn1 0.000 0.000 0.000
Cr1 0.000 0.000 0.666
Ir1 0.000 0.000 0.324
```

## Properties
The calculation puts the density at 12.44 g/cm³. The formation energy is 132 meV per atom.

[11]
Here is a geometry-optimized ZnCrIr2 structure from Alexandria via LeMat-Bulk. Energies are from PBE.

Structure (CIF):
```
data_ZnCrIr2
_symmetry_space_group_name_H-M 'F -4 3 m'
_symmetry_Int_Tables_number 216
_symmetry_space_group_name_Hall 'F -4 2 3'
_cell_length_a 6.129
_cell_length_b 6.129
_cell_length_c 6.129
_cell_angle_alpha 90.00
_cell_angle_beta 90.00
_cell_angle_gamma 90.00
loop_
_atom_site_label
_atom_site_fract_x
_atom_site_fract_y
_atom_site_fract_z
Zn1 0.000 0.000 0.000
Cr1 0.250 0.250 0.750
Ir1 0.000 0.000 0.500
Ir2 0.250 0.250 0.250
```

## Properties
The calculation puts the density at 14.48 g/cm³. The formation energy is 197 meV per atom.

[12]
Here is a geometry-optimized ZnCr2Ir structure from Alexandria via LeMat-Bulk. Energies are from PBE.

Structure (CIF):
```
data_ZnCr2Ir
_symmetry_space_group_name_H-M 'F -4 3 m'
_symmetry_Int_Tables_number 216
_symmetry_space_group_name_Hall 'F -4 2 3'
_cell_length_a 6.010
_cell_length_b 6.010
_cell_length_c 6.010
_cell_angle_alpha 90.00
_cell_angle_beta 90.00
_cell_angle_gamma 90.00
loop_
_atom_site_label
_atom_site_fract_x
_atom_site_fract_y
_atom_site_fract_z
Zn1 0.000 0.000 0.000
Cr1 0.000 0.000 0.500
Cr2 0.250 0.250 0.750
Ir1 0.250 0.250 0.250
```

## Properties
The calculation puts the density at 11.06 g/cm³. The formation energy is -8 meV per atom.